[1]
Entry from Alexandria via LeMat-Bulk: crystalline FeIrCl2 at its relaxed geometry (PBE).

Values from the calculation:
Energy relative to the lowest polymorph listed for this composition, eV per atom: 0.420
Space-group type: Imm2 (44)

a b c (Å): 7.5448 7.5448 7.5448
angles (deg): 157.49 149.64 38.13
With the nearest neighbours (Å) after each atom.
Positions (direct):
1 Fe 0.0000 0.0000 0.0000  2 Ir 2.59, 4 Cl 2.64
2 Ir 0.1490 0.6490 0.5000  4 Cl 2.49, 2 Fe 2.59
3 Cl 0.4330 0.4330 0.0000  4 Fe 2.64, 2 Cl 2.95
4 Cl 0.6736 0.1736 0.5000  4 Ir 2.49

[2]
Entry from Alexandria via LeMat-Bulk: crystalline K3Pr2PaSe6 at its relaxed geometry (PBE).

Values from the calculation:
Raw total energy, eV/atom: -5.20
Space-group type: C2/m (12)

a b c (Å): 7.4700 7.4700 8.1302
angles (deg): 98.82 98.82 119.99
With the nearest neighbours (Å) after each atom.
Positions (direct):
1 K 0.0000 0.0000 0.0000  6 Se 3.31-3.41
2 K 0.3305 0.6695 0.0000  6 Se 3.31-3.38
3 K 0.6695 0.3305 0.0000  6 Se 3.31-3.38
4 Pr 0.1664 0.8336 0.5000  6 Se 3.02
5 Pr 0.8336 0.1664 0.5000  6 Se 3.02
6 Pa 0.5000 0.5000 0.5000  6 Se 2.91
7 Se 0.1077 0.4292 0.2875  1 Pa 2.91, 2 Pr 3.02
8 Se 0.2500 0.2500 0.7129  1 Pa 2.91, 2 Pr 3.02
9 Se 0.4292 0.1077 0.2875  1 Pa 2.91, 2 Pr 3.02
10 Se 0.5708 0.8923 0.7125  1 Pa 2.91, 2 Pr 3.02
11 Se 0.7500 0.7500 0.2871  1 Pa 2.91, 2 Pr 3.02
12 Se 0.8923 0.5708 0.7125  1 Pa 2.91, 2 Pr 3.02

[3]
Entry from Alexandria via LeMat-Bulk: crystalline YSnAu2 at its relaxed geometry (PBE).

Values from the calculation:
Energy of formation, kJ per mole of atoms: -34
Space-group type: I-42d (122)

a b c (Å): 10.2247 10.2247 10.2247
angles (deg): 154.57 154.57 36.28
With the nearest neighbours (Å) after each atom.
Positions (direct):
1 Y 0.0000 0.0000 0.0000  4 Au 2.96, 4 Sn 3.18
2 Y 0.7500 0.2500 0.5000  4 Au 2.96, 4 Sn 3.18
3 Sn 0.2500 0.7500 0.5000  4 Au 2.86, 4 Y 3.18
4 Sn 0.5000 0.5000 0.0000  4 Au 2.86, 4 Y 3.18
5 Au 0.1540 0.6250 0.0290  2 Sn 2.86, 2 Y 2.96, 2 Au 3.00
6 Au 0.3750 0.4040 0.5290  2 Sn 2.86, 2 Y 2.96, 2 Au 3.00
7 Au 0.5960 0.1250 0.9710  2 Sn 2.86, 2 Y 2.96, 2 Au 3.00
8 Au 0.8750 0.8460 0.4710  2 Sn 2.86, 2 Y 2.96, 2 Au 3.00

[4]
Entry from Alexandria via LeMat-Bulk: crystalline Hf2FeTc at its relaxed geometry (PBE).

Values from the calculation:
Energy relative to the lowest polymorph listed for this composition, eV per atom: 0.000
Energy of formation, kJ per mole of atoms: -39
Space-group type: Fm-3m (225)

a b c (Å): 4.5340 4.5340 4.5340
angles (deg): 60.00 60.00 60.00
With the nearest neighbours (Å) after each atom.
Positions (direct):
1 Hf 0.2500 0.2500 0.2500  4 Fe 2.78, 4 Tc 2.78
2 Hf 0.7500 0.7500 0.7500  4 Tc 2.78, 4 Fe 2.78
3 Fe 0.0000 0.0000 0.0000  8 Hf 2.78
4 Tc 0.5000 0.5000 0.5000  8 Hf 2.78

[5]
Entry from Alexandria via LeMat-Bulk: crystalline PmEuErAl at its relaxed geometry (PBE).

Values from the calculation:
Energy of formation, kJ per mole of atoms: -3
Space-group type: F-43m (216)

a b c (Å): 5.4368 5.4368 5.4368
angles (deg): 60.00 60.00 60.00
With the nearest neighbours (Å) after each atom.
Positions (direct):
1 Pm 0.0000 0.0000 0.0000  4 Eu 3.33, 4 Al 3.33
2 Eu 0.7500 0.7500 0.7500  4 Pm 3.33, 4 Er 3.33
3 Er 0.5000 0.5000 0.5000  4 Al 3.33, 4 Eu 3.33
4 Al 0.2500 0.2500 0.2500  4 Er 3.33, 4 Pm 3.33

[6]
Entry from Alexandria via LeMat-Bulk: crystalline ErPuZr2As4 at its relaxed geometry (PBE).

Values from the calculation:
Energy of formation, kJ per mole of atoms: -118
Space-group type: P2/m (10)

a b c (Å): 6.8658 3.9701 6.9351
angles (deg): 90.00 109.25 90.00
With the nearest neighbours (Å) after each atom.
Positions (direct):
1 Er 0.0000 0.0000 0.0000  6 As 2.86
2 Pu 0.5000 0.5000 0.0000  6 As 2.87
3 Zr 0.0000 0.5000 0.5000  6 As 2.76-2.77
4 Zr 0.5000 0.0000 0.5000  6 As 2.77-2.78
5 As 0.2446 0.0000 0.7374  3 Zr 2.77, 1 Er 2.86, 2 Pu 2.87
6 As 0.2527 0.5000 0.2618  3 Zr 2.76-2.78, 2 Er 2.86, 1 Pu 2.87
7 As 0.7473 0.5000 0.7382  3 Zr 2.76-2.78, 2 Er 2.86, 1 Pu 2.87
8 As 0.7554 0.0000 0.2626  3 Zr 2.77, 1 Er 2.86, 2 Pu 2.87